1.
Tb5IrSe4 after structural relaxation. Source: Alexandria via LeMat-Bulk, functional PBE-GGA.

Unit cell a=4.0843 b=4.0843 c=14.9408 alpha=97.86 beta=97.86 gamma=90.00
Positions (direct):
Tb  0.0921  0.0921  0.1842
Tb  0.5000  0.5000  0.0000
Tb  0.9079  0.9079  0.8158
Tb  0.2940  0.2940  0.5880
Tb  0.7060  0.7060  0.4120
Ir  0.0000  0.0000  0.0000
Se  0.3953  0.3953  0.7907
Se  0.8055  0.8055  0.6110
Se  0.1945  0.1945  0.3890
Se  0.6047  0.6047  0.2093

Values from the calculation:
- volume (Å³/cell) = 244.5
- formation energy without anion corrections (eV per atom) = -1.5677
- Fermi-level density of states (states/eV/cell) = 4.51

2.
Tb3IrSe2 after structural relaxation. Source: Alexandria via LeMat-Bulk, functional PBE-GGA.

Unit cell a=7.1950 b=7.1950 c=12.9270 alpha=100.83 beta=100.83 gamma=108.95
Positions (direct):
Tb  0.1629  0.6845  0.8246
Tb  0.6618  0.1402  0.8246
Tb  0.0871  0.0655  0.6754
Tb  0.5882  0.6098  0.6754
Tb  0.0214  0.5214  0.5000
Tb  0.4786  0.9786  0.5000
Tb  0.3902  0.4118  0.3246
Tb  0.9345  0.9129  0.3246
Tb  0.8598  0.3382  0.1754
Tb  0.3155  0.8371  0.1754
Tb  0.2286  0.2286  0.0000
Tb  0.7714  0.7714  0.0000
Ir  0.9166  0.9166  0.8331
Ir  0.3334  0.8334  0.6669
Ir  0.1666  0.6666  0.3331
Ir  0.0834  0.0834  0.1669
Se  0.9970  0.4970  0.9941
Se  0.4197  0.4197  0.8394
Se  0.8303  0.3303  0.6606
Se  0.2530  0.2530  0.5059
Se  0.7470  0.7470  0.4941
Se  0.6697  0.1697  0.3394
Se  0.5803  0.5803  0.1606
Se  0.5030  0.0030  0.0059

Values from the calculation:
- volume (Å³/cell) = 598.9
- formation energy without anion corrections (eV per atom) = -1.4609
- Fermi-level density of states (states/eV/cell) = 13.81

3.
Tb2IrSe after structural relaxation. Source: Alexandria via LeMat-Bulk, functional PBE-GGA.

Unit cell a=4.0373 b=5.7575 c=8.4043 alpha=90.00 beta=90.00 gamma=90.00
Positions (direct):
Tb  0.0000  0.0000  0.8317
Tb  0.0000  0.0000  0.3702
Tb  0.5000  0.5000  0.6298
Tb  0.5000  0.5000  0.1683
Ir  0.5000  0.0000  0.6068
Ir  0.0000  0.5000  0.3932
Se  0.0000  0.5000  0.8992
Se  0.5000  0.0000  0.1008

Values from the calculation:
- volume (Å³/cell) = 195.4
- formation energy without anion corrections (eV per atom) = -1.2537
- Fermi-level density of states (states/eV/cell) = 3.00

4.
Tb2IrSe after structural relaxation. Source: Alexandria via LeMat-Bulk, functional PBE-GGA.

Unit cell a=4.0187 b=4.0187 c=7.4900 alpha=74.44 beta=74.44 gamma=60.00
Positions (direct):
Tb  0.0741  0.0741  0.7776
Tb  0.2596  0.2596  0.2212
Ir  0.6660  0.6660  0.0021
Se  0.5003  0.5003  0.4991

Values from the calculation:
- volume (Å³/cell) = 99.6
- formation energy without anion corrections (eV per atom) = -1.1993
- Fermi-level density of states (states/eV/cell) = 2.07

5.
Tb2IrSe after structural relaxation. Source: Alexandria via LeMat-Bulk, functional PBE-GGA.

Unit cell a=4.0009 b=4.0054 c=7.4384 alpha=105.54 beta=90.00 gamma=119.96
Positions (direct):
Tb  0.2425  0.4849  0.2270
Tb  0.7575  0.5151  0.7730
Ir  0.5000  0.0000  0.0000
Se  0.0000  0.0000  0.5000

Values from the calculation:
- volume (Å³/cell) = 98.2
- formation energy without anion corrections (eV per atom) = -1.2334
- Fermi-level density of states (states/eV/cell) = 2.23

6.
Tb2IrSe after structural relaxation. Source: Alexandria via LeMat-Bulk, functional PBE-GGA.

Unit cell a=3.4902 b=3.4902 c=7.2556 alpha=90.00 beta=90.00 gamma=90.00
Positions (direct):
Ir  0.5000  0.5000  0.0000
Tb  0.0000  0.0000  0.7675
Tb  0.0000  0.0000  0.2325
Se  0.5000  0.5000  0.5000

Values from the calculation:
- volume (Å³/cell) = 88.4
- formation energy without anion corrections (eV per atom) = -1.1400
- Fermi-level density of states (states/eV/cell) = 1.27